(1)
First-principles (PBE) data for a geometry-optimized BaSc2O4 structure, as listed in Alexandria via LeMat-Bulk.

Calculated values
Size of the total moment in μB/cell: 0.00
DFT total energy in eV/atom: -8.115
Uncorrected formation energy in eV per atom: -3.198

Lattice parameters (Å, degrees): 3.2875 5.6168 11.0031 90.00 90.00 107.02
With the nearest neighbours (Å) after each atom.
Fractional coordinates of all 14 atoms:
Ba 0.6098 0.2197 0.7500  6 O 2.63-2.74
Ba 0.3902 0.7803 0.2500  6 O 2.63-2.74
Sc 0.1373 0.2746 0.4309  4 O 2.08-2.15
Sc 0.8627 0.7254 0.9309  4 O 2.08-2.15
Sc 0.1373 0.2746 0.0691  4 O 2.08-2.15
Sc 0.8627 0.7254 0.5691  4 O 2.08-2.15
O 0.7590 0.5180 0.0976  3 Sc 2.12-2.15
O 0.7590 0.5180 0.4024  3 Sc 2.12-2.15
O 0.2410 0.4820 0.9024  3 Sc 2.12-2.15
O 0.2410 0.4820 0.5976  3 Sc 2.12-2.15
O 0.9185 0.8369 0.7500  2 Sc 2.08
O 0.0815 0.1631 0.2500  2 Sc 2.08
O 0.5000 0.0000 0.0000  4 Sc 2.34
O 0.5000 0.0000 0.5000  4 Sc 2.34


(2)
First-principles (PBE) data for a geometry-optimized Ti2PtPb structure, as listed in Alexandria via LeMat-Bulk.

Calculated values
Size of the total moment in μB/cell: 0.00
DFT total energy in eV/atom: -6.500
Energy of formation from the pure elements in meV per atom: -115

Lattice parameters (Å, degrees): 7.3767 7.3767 6.0060 52.11 52.11 90.00
With the nearest neighbours (Å) after each atom.
Fractional coordinates of all 8 atoms:
Pb 0.0000 0.0000 0.0000  4 Ti 2.93, 2 Pt 2.98
Pb 0.7500 0.2500 0.5000  4 Ti 2.93, 2 Pt 2.98
Pt 0.5000 0.5000 0.0000  4 Ti 2.52
Pt 0.2500 0.7500 0.5000  4 Ti 2.52
Ti 0.5839 0.1250 0.2500  2 Pt 2.52
Ti 0.1661 0.6250 0.2500  2 Pt 2.52
Ti 0.3750 0.4161 0.7500  2 Pt 2.52
Ti 0.8750 0.8339 0.7500  2 Pt 2.52